Density functional theory data (PBE) for a relaxed structure of YAlI3.

abc: 5.630 5.630 5.630
angles: 90.00 90.00 90.00
Positions (direct):
Y 0.000 0.000 0.000
Al 0.500 0.500 0.500
I 0.000 0.500 0.500
I 0.500 0.000 0.500
I 0.500 0.500 0.000

Output
energy relative to the lowest polymorph listed for this composition: 0.423 eV/atom
magnetization: 1.1 μB/f.u.
calculated total energy: -15.1 eV/cell
space group: Pm-3m (221)
E_form (uncorrected): -58 meV/atom